# Ac2ReAuO8, optimized geometry, DFT PBE
data_Ac2ReAuO8
_symmetry_space_group_name_H-M 'P -1'
_symmetry_Int_Tables_number 2
_cell_length_a 4.512
_cell_length_b 5.499
_cell_length_c 7.301
_cell_angle_alpha 83.42
_cell_angle_beta 86.35
_cell_angle_gamma 83.32
loop_
_symmetry_equiv_pos_as_xyz
'x,y,z'
'-x,-y,-z'
loop_
_atom_site_label
_atom_site_type_symbol
_atom_site_fract_x
_atom_site_fract_y
_atom_site_fract_z
_atom_site_occupancy
Ac1 Ac 0.188 0.016 0.244 1
Re1 Re 0.500 0.500 0.500 1
Au1 Au 0.500 0.500 0.000 1
O1 O 0.193 0.739 0.556 1
O2 O 0.281 0.842 0.940 1
O3 O 0.301 0.246 0.623 1
O4 O 0.306 0.479 0.261 1
# * uncorrected energy: -88.377 eV for the cell shown
# * uncorrected formation energy: -2.06 eV/atom
# * calculated density: 8.98 g/cm3


# Ac5RhAu2O, optimized geometry, DFT PBE
data_Ac5RhAu2O
_symmetry_space_group_name_H-M 'C m c 21'
_symmetry_Int_Tables_number 36
_cell_length_a 4.285
_cell_length_b 18.952
_cell_length_c 13.980
_cell_angle_alpha 90.00
_cell_angle_beta 90.00
_cell_angle_gamma 90.00
loop_
_symmetry_equiv_pos_as_xyz
'x,y,z'
'-x,-y,z+1/2'
'-x,y,z'
'x,-y,z+1/2'
'x+1/2,y+1/2,z'
'-x+1/2,-y+1/2,z+1/2'
'-x+1/2,y+1/2,z'
'x+1/2,-y+1/2,z+1/2'
loop_
_atom_site_label
_atom_site_type_symbol
_atom_site_fract_x
_atom_site_fract_y
_atom_site_fract_z
_atom_site_occupancy
Ac1 Ac 0.000 0.000 0.000 1
Ac2 Ac 0.000 0.141 0.248 1
Ac3 Ac 0.000 0.195 0.609 1
Ac4 Ac 0.000 0.206 0.904 1
Ac5 Ac 0.000 0.452 0.235 1
Rh1 Rh 0.000 0.294 0.257 1
Au1 Au 0.000 0.377 0.567 1
Au2 Au 0.000 0.380 0.928 1
O1 O 0.000 0.061 0.653 1
# * DOS at the Fermi energy: 28.76 states/eV/cell
# * uncorrected energy: -198.832 eV for the cell shown
# * uncorrected formation energy: -1.14 eV/atom
# * calculated density: 9.64 g/cm3


# Ac5RuAu2O, optimized geometry, DFT PBE
data_Ac5RuAu2O
_symmetry_space_group_name_H-M 'C m c 21'
_symmetry_Int_Tables_number 36
_cell_length_a 4.308
_cell_length_b 18.800
_cell_length_c 13.951
_cell_angle_alpha 90.00
_cell_angle_beta 90.00
_cell_angle_gamma 90.00
loop_
_symmetry_equiv_pos_as_xyz
'x,y,z'
'-x,-y,z+1/2'
'-x,y,z'
'x,-y,z+1/2'
'x+1/2,y+1/2,z'
'-x+1/2,-y+1/2,z+1/2'
'-x+1/2,y+1/2,z'
'x+1/2,-y+1/2,z+1/2'
loop_
_atom_site_label
_atom_site_type_symbol
_atom_site_fract_x
_atom_site_fract_y
_atom_site_fract_z
_atom_site_occupancy
Ac1 Ac 0.000 0.001 0.000 1
Ac2 Ac 0.000 0.144 0.246 1
Ac3 Ac 0.000 0.195 0.612 1
Ac4 Ac 0.000 0.209 0.903 1
Ac5 Ac 0.000 0.451 0.235 1
Ru1 Ru 0.000 0.293 0.259 1
Au1 Au 0.000 0.376 0.564 1
Au2 Au 0.000 0.385 0.924 1
O1 O 0.000 0.058 0.652 1
# * DOS at the Fermi energy: 26.08 states/eV/cell
# * uncorrected energy: -202.462 eV for the cell shown
# * uncorrected formation energy: -1.03 eV/atom
# * calculated density: 9.67 g/cm3